(1)
First-principles (PBE) data for ScCdCoSb after structural relaxation, as listed in the Open Quantum Materials Database.

Lattice parameters (Å, degrees): 6.679 6.679 6.679 90.00 90.00 90.00
Space group F-43m (No. 216)
Unique sites:
1 Sc 0.000 0.000 0.000 x4
2 Cd 0.250 0.250 0.250 x4
3 Co 0.250 0.250 0.750 x4
4 Sb 0.000 0.000 0.500 x4

The calculation puts the magnetization at 1.83 μB/cell. The calculated total energy comes out at -4.60 eV per atom.

***

(2)
First-principles (PBE) data for ScCdCoSb after structural relaxation, as listed in the Open Quantum Materials Database.

Lattice parameters (Å, degrees): 6.683 6.683 6.683 90.00 90.00 90.00
Space group F-43m (No. 216)
Unique sites:
1 Sc 0.000 0.000 0.000 x4
2 Cd 0.250 0.250 0.750 x4
3 Co 0.000 0.000 0.500 x4
4 Sb 0.250 0.250 0.250 x4

The calculation puts the magnetization at 0.03 μB/cell. The calculated total energy comes out at -4.66 eV per atom.

***

(3)
First-principles (PBE) data for CdCoTcSb after structural relaxation, as listed in the Open Quantum Materials Database.

Lattice parameters (Å, degrees): 6.363 6.363 6.363 90.00 90.00 90.00
Space group F-43m (No. 216)
Unique sites:
1 Cd 0.000 0.000 0.000 x4
2 Co 0.250 0.250 0.750 x4
3 Tc 0.250 0.250 0.250 x4
4 Sb 0.000 0.000 0.500 x4

The calculation puts the magnetization at 0.00 μB/cell. The calculated total energy comes out at -5.31 eV per atom.

***

(4)
First-principles (PBE) data for CdCoSbW after structural relaxation, as listed in the Open Quantum Materials Database.

Lattice parameters (Å, degrees): 6.466 6.466 6.466 90.00 90.00 90.00
Space group F-43m (No. 216)
Unique sites:
1 Cd 0.000 0.000 0.000 x4
2 Co 0.250 0.250 0.750 x4
3 Sb 0.000 0.000 0.500 x4
4 W 0.250 0.250 0.250 x4

The calculation puts the magnetization at 2.25 μB/cell. The calculated total energy comes out at -5.57 eV per atom.

***

Repeat the fourth record exactly.
First-principles (PBE) data for CdCoSbW after structural relaxation, as listed in the Open Quantum Materials Database.

Lattice parameters (Å, degrees): 6.466 6.466 6.466 90.00 90.00 90.00
Space group F-43m (No. 216)
Unique sites:
1 Cd 0.000 0.000 0.000 x4
2 Co 0.250 0.250 0.750 x4
3 Sb 0.000 0.000 0.500 x4
4 W 0.250 0.250 0.250 x4

The calculation puts the magnetization at 2.25 μB/cell. The calculated total energy comes out at -5.57 eV per atom.

***

Which formula does entry 1 have?
ScCdCoSb